Entry 1:
# VSbHRu2

A relaxed structure of VSbHRu2 (PBE, Alexandria via LeMat-Bulk).

a = 4.0963 Å, b = 4.0963 Å, c = 3.8095 Å
α = 90.00°, β = 90.00°, γ = 90.00°
Last column: nearest neighbours and their distance in Å.
Fractional coordinates of all 5 atoms:
Sb1 0.5000 0.5000 0.5000  8 Ru 2.80, 4 V 2.90
V1 0.0000 0.0000 0.5000  2 H 1.90
H1 0.0000 0.0000 0.0000  2 V 1.90, 4 Ru 2.05
Ru1 0.0000 0.5000 0.0000  2 H 2.05
Ru2 0.5000 0.0000 0.0000  2 H 2.05

The space-group type is No. 123. The value obtained for the total energy is -35.23 eV per cell.


Entry 2:
# Nb3BPt

A relaxed structure of Nb3BPt (PBE, Alexandria via LeMat-Bulk).

a = 4.8614 Å, b = 4.8614 Å, c = 4.8614 Å
α = 90.00°, β = 90.00°, γ = 90.00°
Last column: nearest neighbours and their distance in Å.
Fractional coordinates of all 5 atoms:
Nb1 0.0000 0.5000 0.0000  2 Pt 2.43
Nb2 0.0000 0.0000 0.5000  2 Pt 2.43
Nb3 0.5000 0.0000 0.0000  2 Pt 2.43
B1 0.5000 0.5000 0.5000  12 Nb 3.44
Pt1 0.0000 0.0000 0.0000  6 Nb 2.43

The space-group type is No. 221. The calculation puts the formation energy at 1855 meV per atom.


Entry 3:
# CdAg2C

A relaxed structure of CdAg2C (PBE, Alexandria via LeMat-Bulk).

a = 4.5390 Å, b = 4.5390 Å, c = 4.5390 Å
α = 60.00°, β = 60.00°, γ = 60.00°
Last column: nearest neighbours and their distance in Å.
Fractional coordinates of all 4 atoms:
C1 0.0000 0.0000 0.0000  8 Ag 2.78
Ag1 0.2500 0.2500 0.2500  4 Cd 2.78, 4 C 2.78
Ag2 0.7500 0.7500 0.7500  4 Cd 2.78, 4 C 2.78
Cd1 0.5000 0.5000 0.5000  8 Ag 2.78

The space-group type is No. 225. The calculation puts the formation energy at 1335 meV per atom.